A geometry-optimized Cd4TcAu structure, computed with PBE.

Calculated values
Spin magnetization (μB per formula unit): 2.4
Energy relative to the elements (meV per atom): 539.5
DOS at the Fermi energy (states/eV/cell): 4.68

abc: 5.563 5.563 5.563
angles: 60.00 60.00 60.00
Each line ends with the local moment (μB).
Sites, in units of the cell vectors:
Cd (0.874, 0.375, 0.375)  -0.02
Cd (0.375, 0.375, 0.874)  -0.02
Cd (0.375, 0.874, 0.375)  -0.02
Cd (0.375, 0.375, 0.375)  -0.02
Tc (0.750, 0.750, 0.750)  2.21
Au (0.000, 0.000, 0.000)  0.02